# Na2PuI6 | Alexandria | GGA-PBE | optimized geometry
# crystal system = monoclinic
# energy relative to the elements, uncorrected = -1.030 eV/atom
# relative energy among the computed polymorphs = 0.0 meV per atom
data_Na2PuI6
_chemical_formula_sum 'Na4 Pu2 I12'
_space_group_name_H-M_alt 'P 1 21/c 1'
_space_group_IT_number 14
_space_group_name_Hall '-P 2ybc'
_cell_length_a 7.9109
_cell_length_b 7.4551
_cell_length_c 15.5918
_cell_angle_alpha 90.00
_cell_angle_beta 120.47
_cell_angle_gamma 90.00
loop_
_atom_site_label
_atom_site_type_symbol
_atom_site_fract_x
_atom_site_fract_y
_atom_site_fract_z
Na1 Na 0.1719 0.0013 0.1721
Pu1 Pu 0.5000 0.0000 0.0000
I1 I 0.1833 0.7340 0.3428
I2 I 0.1895 0.2352 0.9995
I3 I 0.4982 0.7318 0.6581

---

# ZrHgBi | Alexandria | GGA-PBE | optimized geometry
# crystal system = orthorhombic
# energy of formation = -83 meV/atom
# relative energy among the computed polymorphs = 152.6 meV per atom
data_ZrHgBi
_chemical_formula_sum 'Zr8 Hg8 Bi8'
_space_group_name_H-M_alt 'C m c e'
_space_group_IT_number 64
_space_group_name_Hall '-C 2ac 2'
_cell_length_a 6.0063
_cell_length_b 12.8337
_cell_length_c 8.2165
_cell_angle_alpha 90.00
_cell_angle_beta 90.00
_cell_angle_gamma 90.00
loop_
_atom_site_label
_atom_site_type_symbol
_atom_site_fract_x
_atom_site_fract_y
_atom_site_fract_z
Zr1 Zr 0.0000 0.1045 0.1019
Hg1 Hg 0.2500 0.0777 0.7500
Bi1 Bi 0.0000 0.1853 0.4340

---

# NaGaTc2Ag | Alexandria | GGA-PBE | optimized geometry
# crystal system = tetragonal
# energy of formation = 1710 meV/atom
data_NaGaTc2Ag
_chemical_formula_sum 'Na1 Ga1 Tc2 Ag1'
_space_group_name_H-M_alt 'P 4/m m m'
_space_group_IT_number 123
_space_group_name_Hall '-P 4 2'
_cell_length_a 5.0230
_cell_length_b 5.0230
_cell_length_c 4.9002
_cell_angle_alpha 90.00
_cell_angle_beta 90.00
_cell_angle_gamma 90.00
loop_
_atom_site_label
_atom_site_type_symbol
_atom_site_fract_x
_atom_site_fract_y
_atom_site_fract_z
Na1 Na 0.0000 0.0000 0.0000
Ga1 Ga 0.5000 0.5000 0.0000
Tc1 Tc 0.0000 0.5000 0.5000
Ag1 Ag 0.0000 0.0000 0.5000

---

# RbTaSe3 | Alexandria | GGA-PBE | optimized geometry
# crystal system = cubic
# energy relative to the elements, uncorrected = -0.777 eV/atom
data_RbTaSe3
_chemical_formula_sum 'Rb1 Ta1 Se3'
_space_group_name_H-M_alt 'P m -3 m'
_space_group_IT_number 221
_space_group_name_Hall '-P 4 2 3'
_cell_length_a 5.1374
_cell_length_b 5.1374
_cell_length_c 5.1374
_cell_angle_alpha 90.00
_cell_angle_beta 90.00
_cell_angle_gamma 90.00
loop_
_atom_site_label
_atom_site_type_symbol
_atom_site_fract_x
_atom_site_fract_y
_atom_site_fract_z
Rb1 Rb 0.0000 0.0000 0.0000
Ta1 Ta 0.5000 0.5000 0.5000
Se1 Se 0.0000 0.5000 0.5000

---

# ScSb2Pb2 | Alexandria | GGA-PBE | optimized geometry
# crystal system = tetragonal
# energy relative to the elements, uncorrected = 0.015 eV/atom
data_ScSb2Pb2
_chemical_formula_sum 'Sc2 Sb4 Pb4'
_space_group_name_H-M_alt 'I 4/m m m'
_space_group_IT_number 139
_space_group_name_Hall '-I 4 2'
_cell_length_a 4.2905
_cell_length_b 4.2905
_cell_length_c 16.6293
_cell_angle_alpha 90.00
_cell_angle_beta 90.00
_cell_angle_gamma 90.00
loop_
_atom_site_label
_atom_site_type_symbol
_atom_site_fract_x
_atom_site_fract_y
_atom_site_fract_z
Sc1 Sc 0.0000 0.0000 0.0000
Sb1 Sb 0.0000 0.0000 0.4131
Pb1 Pb 0.0000 0.5000 0.2500

---

# IrRh5 | Alexandria | GGA-PBE | optimized geometry
# crystal system = tetragonal
# energy of formation = -2 meV/atom
# relative energy among the computed polymorphs = 1.1 meV per atom
data_IrRh5
_chemical_formula_sum 'Ir1 Rh5'
_space_group_name_H-M_alt 'P 4/m m m'
_space_group_IT_number 123
_space_group_name_Hall '-P 4 2'
_cell_length_a 2.7230
_cell_length_b 2.7230
_cell_length_c 11.5142
_cell_angle_alpha 90.00
_cell_angle_beta 90.00
_cell_angle_gamma 90.00
loop_
_atom_site_label
_atom_site_type_symbol
_atom_site_fract_x
_atom_site_fract_y
_atom_site_fract_z
Ir1 Ir 0.0000 0.0000 0.0000
Rh1 Rh 0.0000 0.0000 0.3344
Rh2 Rh 0.5000 0.5000 0.1656
Rh3 Rh 0.5000 0.5000 0.5000

---

# Nd3CoPb | Alexandria | GGA-PBE | optimized geometry
# crystal system = cubic
# energy of formation = -233 meV/atom
# relative energy among the computed polymorphs = 12.0 meV per atom
data_Nd3CoPb
_chemical_formula_sum 'Nd3 Co1 Pb1'
_space_group_name_H-M_alt 'P m -3 m'
_space_group_IT_number 221
_space_group_name_Hall '-P 4 2 3'
_cell_length_a 5.2849
_cell_length_b 5.2849
_cell_length_c 5.2849
_cell_angle_alpha 90.00
_cell_angle_beta 90.00
_cell_angle_gamma 90.00
loop_
_atom_site_label
_atom_site_type_symbol
_atom_site_fract_x
_atom_site_fract_y
_atom_site_fract_z
Nd1 Nd 0.0000 0.0000 0.5000
Co1 Co 0.0000 0.0000 0.0000
Pb1 Pb 0.5000 0.5000 0.5000

---

# ErOsC | Alexandria | GGA-PBE | optimized geometry
# crystal system = trigonal
# energy of formation = -60 meV/atom
data_ErOsC
_chemical_formula_sum 'Er1 Os1 C1'
_space_group_name_H-M_alt 'P 3 m 1'
_space_group_IT_number 156
_space_group_name_Hall 'P 3 -2"'
_cell_length_a 3.3590
_cell_length_b 3.3590
_cell_length_c 4.7513
_cell_angle_alpha 90.00
_cell_angle_beta 90.00
_cell_angle_gamma 120.00
loop_
_atom_site_label
_atom_site_type_symbol
_atom_site_fract_x
_atom_site_fract_y
_atom_site_fract_z
Er1 Er 0.0000 0.0000 0.0000
Os1 Os 0.3333 0.6667 0.4767
C1 C 0.6667 0.3333 0.3355

---

# MnWI3 | Alexandria | GGA-PBE | optimized geometry
# crystal system = cubic
# energy relative to the elements, uncorrected = 0.966 eV/atom
# relative energy among the computed polymorphs = 0.0 meV per atom
data_MnWI3
_chemical_formula_sum 'Mn1 W1 I3'
_space_group_name_H-M_alt 'P m -3 m'
_space_group_IT_number 221
_space_group_name_Hall '-P 4 2 3'
_cell_length_a 5.7087
_cell_length_b 5.7087
_cell_length_c 5.7087
_cell_angle_alpha 90.00
_cell_angle_beta 90.00
_cell_angle_gamma 90.00
loop_
_atom_site_label
_atom_site_type_symbol
_atom_site_fract_x
_atom_site_fract_y
_atom_site_fract_z
Mn1 Mn 0.0000 0.0000 0.0000
W1 W 0.5000 0.5000 0.5000
I1 I 0.0000 0.5000 0.5000

---

# Ca2Pm3Pb2 | Alexandria | GGA-PBE | optimized geometry
# crystal system = monoclinic
# energy of formation = -311 meV/atom
data_Ca2Pm3Pb2
_chemical_formula_sum 'Ca4 Pm6 Pb4'
_space_group_name_H-M_alt 'C 1 2/m 1'
_space_group_IT_number 12
_space_group_name_Hall '-C 2y'
_cell_length_a 11.7954
_cell_length_b 4.7727
_cell_length_c 8.7963
_cell_angle_alpha 90.00
_cell_angle_beta 106.99
_cell_angle_gamma 90.00
loop_
_atom_site_label
_atom_site_type_symbol
_atom_site_fract_x
_atom_site_fract_y
_atom_site_fract_z
Ca1 Ca 0.1362 0.0000 0.2831
Pm1 Pm 0.0000 0.5000 0.5000
Pm2 Pm 0.1319 0.5000 0.9402
Pb1 Pb 0.1686 0.0000 0.6979

---

# NaMnBW2 | Alexandria | GGA-PBE | optimized geometry
# crystal system = tetragonal
# energy of formation = 3267 meV/atom
data_NaMnBW2
_chemical_formula_sum 'Na1 Mn1 B1 W2'
_space_group_name_H-M_alt 'P 4/m m m'
_space_group_IT_number 123
_space_group_name_Hall '-P 4 2'
_cell_length_a 4.5219
_cell_length_b 4.5219
_cell_length_c 3.7918
_cell_angle_alpha 90.00
_cell_angle_beta 90.00
_cell_angle_gamma 90.00
loop_
_atom_site_label
_atom_site_type_symbol
_atom_site_fract_x
_atom_site_fract_y
_atom_site_fract_z
Na1 Na 0.0000 0.0000 0.0000
Mn1 Mn 0.5000 0.5000 0.5000
B1 B 0.0000 0.0000 0.5000
W1 W 0.0000 0.5000 0.0000

---

# NdEuHg2 | Alexandria | GGA-PBE | optimized geometry
# crystal system = tetragonal
# energy of formation = -520 meV/atom
data_NdEuHg2
_chemical_formula_sum 'Nd1 Eu1 Hg2'
_space_group_name_H-M_alt 'P 4/m m m'
_space_group_IT_number 123
_space_group_name_Hall '-P 4 2'
_cell_length_a 5.4470
_cell_length_b 5.4470
_cell_length_c 3.8805
_cell_angle_alpha 90.00
_cell_angle_beta 90.00
_cell_angle_gamma 90.00
loop_
_atom_site_label
_atom_site_type_symbol
_atom_site_fract_x
_atom_site_fract_y
_atom_site_fract_z
Nd1 Nd 0.0000 0.0000 0.0000
Eu1 Eu 0.5000 0.5000 0.0000
Hg1 Hg 0.0000 0.5000 0.5000

---

Calculated volume in Å³/atom, matching the order above: 44.03, 26.39, 24.73, 27.12, 30.61, 14.23, 29.52, 15.48, 37.21, 33.83, 15.51, 28.78